No. 1
Density functional theory data (GGA-PBE) for crystalline Pr6Tc2Ag at its relaxed geometry.

Cell and atoms, written as CIF:
```
data_Pr6Tc2Ag
_chemical_formula_sum 'Pr24 Tc8 Ag4'
_space_group_name_H-M_alt 'I m m m'
_space_group_IT_number 71
_space_group_name_Hall '-I 2 2'
_cell_length_a 10.0306
_cell_length_b 10.0414
_cell_length_c 10.4931
_cell_angle_alpha 90.00
_cell_angle_beta 90.00
_cell_angle_gamma 90.00
loop_
_atom_site_label
_atom_site_fract_x
_atom_site_fract_y
_atom_site_fract_z
_atom_site_occupancy
Pr1 0.0000 0.2100 0.1862 1
Pr2 0.1901 0.2123 0.5000 1
Pr3 0.2094 0.5000 0.2789 1
Tc1 0.0000 0.0000 0.3876 1
Tc2 0.1198 0.0000 0.0000 1
Ag1 0.0000 0.5000 0.0000 1
Ag2 0.0000 0.5000 0.5000 1
```

Results
As for the spin magnetization: 0.00 μB per formula unit.

---

No. 2
Density functional theory data (GGA-PBE) for crystalline SmYHoTh at its relaxed geometry.

Cell and atoms, written as CIF:
```
data_SmYHoTh
_chemical_formula_sum 'Sm4 Y4 Ho4 Th4'
_space_group_name_H-M_alt 'F -4 3 m'
_space_group_IT_number 216
_space_group_name_Hall 'F -4 2 3'
_cell_length_a 8.0544
_cell_length_b 8.0544
_cell_length_c 8.0544
_cell_angle_alpha 90.00
_cell_angle_beta 90.00
_cell_angle_gamma 90.00
loop_
_atom_site_label
_atom_site_fract_x
_atom_site_fract_y
_atom_site_fract_z
_atom_site_occupancy
Sm1 0.0000 0.0000 0.0000 1
Y1 0.2500 0.2500 0.2500 1
Ho1 0.2500 0.2500 0.7500 1
Th1 0.0000 0.0000 0.5000 1
```

Results
As for the spin magnetization: 0.00 μB per formula unit. Its energy relative to the lowest polymorph listed for this composition is 128 meV/atom.

---

No. 3
Density functional theory data (GGA-PBE) for crystalline Na4BiH at its relaxed geometry.

Cell and atoms, written as CIF:
```
data_Na4BiH
_chemical_formula_sum 'Na16 Bi4 H4'
_space_group_name_H-M_alt 'C 1 2/m 1'
_space_group_IT_number 12
_space_group_name_Hall '-C 2y'
_cell_length_a 16.4907
_cell_length_b 6.8480
_cell_length_c 5.6536
_cell_angle_alpha 90.00
_cell_angle_beta 101.98
_cell_angle_gamma 90.00
loop_
_atom_site_label
_atom_site_fract_x
_atom_site_fract_y
_atom_site_fract_z
_atom_site_occupancy
Na1 0.0000 0.2447 0.0000 1
Na2 0.1422 0.2464 0.6627 1
Na3 0.1895 0.0000 0.1582 1
Bi1 0.1700 0.5000 0.2026 1
H1 0.0696 0.0000 0.8184 1
```

Results
As for the spin magnetization: 0.00 μB per formula unit. Its energy relative to the lowest polymorph listed for this composition is 0 meV/atom.

---

No. 4
Density functional theory data (GGA-PBE) for crystalline MgTiCu2N at its relaxed geometry.

Cell and atoms, written as CIF:
```
data_MgTiCu2N
_chemical_formula_sum 'Mg1 Ti1 Cu2 N1'
_space_group_name_H-M_alt 'P 4/m m m'
_space_group_IT_number 123
_space_group_name_Hall '-P 4 2'
_cell_length_a 4.0686
_cell_length_b 4.0686
_cell_length_c 4.0181
_cell_angle_alpha 90.00
_cell_angle_beta 90.00
_cell_angle_gamma 90.00
loop_
_atom_site_label
_atom_site_fract_x
_atom_site_fract_y
_atom_site_fract_z
_atom_site_occupancy
Mg1 0.0000 0.0000 0.0000 1
Ti1 0.5000 0.5000 0.0000 1
Cu1 0.0000 0.5000 0.5000 1
N1 0.5000 0.5000 0.5000 1
```

Results
The formation energy from raw total energies is -132 meV/atom. As for the spin magnetization: 0.00 μB per formula unit.

---

Total energy per entry: -209.22, -90.48, -56.33, -26.66 eV per cell